Compound: Pu3Ga2Tc
Source: Alexandria
Functional: PBE-GGA
Structure: relaxed

The structure in POSCAR format:
```
Pu3Ga2Tc
1.0
-1.963 -1.541 5.789
-5.748 -3.045 -1.455
-0.687 -6.595 -0.684
Pu Ga Tc
6 4 2
Direct
0.250 0.507 0.493
0.750 0.493 0.507
0.944 0.827 0.443
0.556 0.557 0.173
0.444 0.443 0.827
0.056 0.173 0.557
0.556 0.034 0.662
0.056 0.662 0.034
0.944 0.338 0.966
0.444 0.966 0.338
0.750 0.996 0.004
0.250 0.004 0.996
```

## Properties
Its energy is -9.98 eV per atom. As for the total magnetization: 10.30 μB per cell. As for the formation energy: -7.14 kJ/mol of atoms.